# 1
A relaxed structure of GaP3O. Source: the Alexandria database, functional PBE.

Summary:
* E: -3.3988 eV per atom
* offset from the most stable computed form: 425.7 kJ/mol of formula units
* total magnetic moment: 2.0 μB/cell
* E_form (uncorrected): 1.444 eV/atom

Lattice parameters (Å, degrees): 4.679 4.679 4.679 90.00 90.00 90.00
Last column: magnetic moment on the atom in μB.
Fractional positions:
P (0.000, 0.500, 0.000)  0.09
P (0.000, 0.000, 0.500)  0.10
P (0.500, 0.000, 0.000)  0.10
O (0.500, 0.500, 0.500)  1.15
Ga (0.000, 0.000, 0.000)  0.00

# 2
A relaxed structure of Co2CuHg. Source: the Alexandria database, functional PBE.

Summary:
* E: -4.2819 eV per atom
* total magnetic moment: 3.2 μB/cell
* energy relative to the elements: 1.48 eV per formula unit

Lattice parameters (Å, degrees): 4.612 4.612 4.612 132.32 129.19 72.24
Last column: magnetic moment on the atom in μB.
Fractional positions:
Co (0.990, 0.990, 0.000)  1.62
Co (0.759, 0.259, 0.500)  1.65
Cu (0.504, 0.504, 0.000)  0.04
Hg (0.247, 0.747, 0.500)  -0.02

# 3
A relaxed structure of BaAlPb2. Source: the Alexandria database, functional PBE.

Summary:
* E: -3.3333 eV per atom
* total magnetic moment: 0.0 μB/cell
* energy relative to the elements: -0.25 eV per formula unit

Lattice parameters (Å, degrees): 5.772 5.772 10.209 73.58 73.58 90.00
Fractional positions:
Pb (0.499, 0.125, 0.250)
Pb (0.251, 0.625, 0.250)
Pb (0.375, 0.501, 0.750)
Pb (0.875, 0.749, 0.750)
Ba (0.000, 0.000, 0.000)
Ba (0.750, 0.250, 0.500)
Al (0.500, 0.500, 0.000)
Al (0.250, 0.750, 0.500)

# 4
A relaxed structure of BiCl4. Source: the Alexandria database, functional PBE.

Summary:
* E: -2.9014 eV per atom
* offset from the most stable computed form: 47.5 kJ/mol of formula units
* total magnetic moment: 0.0 μB/cell
* E_form (uncorrected): -0.648 eV/atom

Lattice parameters (Å, degrees): 7.599 6.697 9.004 89.37 65.04 88.50
Fractional positions:
Bi (0.076, 0.250, 0.848)
Bi (0.924, 0.750, 0.152)
Cl (0.385, 0.405, 0.641)
Cl (0.974, 0.095, 0.641)
Cl (0.146, 0.414, 0.103)
Cl (0.751, 0.086, 0.103)
Cl (0.854, 0.586, 0.897)
Cl (0.249, 0.914, 0.897)
Cl (0.026, 0.905, 0.359)
Cl (0.615, 0.595, 0.359)

# 5
A relaxed structure of AlP2Pb. Source: the Alexandria database, functional PBE.

Summary:
* E: -4.6153 eV per atom
* offset from the most stable computed form: 21.0 kJ/mol of formula units
* total magnetic moment: 0.0 μB/cell
* energy relative to the elements: -0.19 eV per formula unit

Lattice parameters (Å, degrees): 3.970 3.970 6.770 88.05 88.05 55.73
Fractional positions:
Pb (0.483, 0.483, 0.525)
P (0.959, 0.959, 0.171)
P (0.781, 0.781, 0.778)
Al (0.278, 0.278, 0.025)

# 6
A relaxed structure of RbBa3Pb. Source: the Alexandria database, functional PBE.

Summary:
* E: -2.2417 eV per atom
* offset from the most stable computed form: 0.0 kJ/mol of formula units
* total magnetic moment: 0.0 μB/cell
* energy relative to the elements: -0.76 eV per formula unit

Lattice parameters (Å, degrees): 6.980 6.980 6.980 90.00 90.00 90.00
Fractional positions:
Pb (0.000, 0.000, 0.000)
Ba (0.000, 0.500, 0.000)
Ba (0.000, 0.000, 0.500)
Ba (0.500, 0.000, 0.000)
Rb (0.500, 0.500, 0.500)

# 7
A relaxed structure of Y2BS4. Source: the Alexandria database, functional PBE.

Summary:
* E: -6.2535 eV per atom
* offset from the most stable computed form: 161.2 kJ/mol of formula units
* total magnetic moment: 0.0 μB/cell
* E_form (uncorrected): -1.094 eV/atom

Lattice parameters (Å, degrees): 4.187 4.187 7.952 74.74 74.74 90.00
Fractional positions:
Y (0.634, 0.634, 0.733)
Y (0.366, 0.366, 0.267)
S (0.821, 0.821, 0.357)
S (0.179, 0.179, 0.643)
S (0.000, 0.500, 0.000)
S (0.500, 0.000, 0.000)
B (0.000, 0.000, 0.000)

# 8
A relaxed structure of MgCu2IrW. Source: the Alexandria database, functional PBE.

Summary:
* E: -5.2191 eV per atom
* total magnetic moment: 0.0 μB/cell
* energy relative to the elements: 5.51 eV per formula unit

Lattice parameters (Å, degrees): 4.702 4.703 4.702 90.00 90.00 90.00
Fractional positions:
Mg (0.500, 0.500, 0.500)
Ir (0.000, 0.000, 0.000)
Cu (0.000, 0.000, 0.500)
Cu (0.500, 0.000, 0.000)
W (0.000, 0.500, 0.000)

Copy entry 2 word for word.
A relaxed structure of Co2CuHg. Source: the Alexandria database, functional PBE.

Summary:
* E: -4.2819 eV per atom
* total magnetic moment: 3.2 μB/cell
* energy relative to the elements: 1.48 eV per formula unit

Lattice parameters (Å, degrees): 4.612 4.612 4.612 132.32 129.19 72.24
Last column: magnetic moment on the atom in μB.
Fractional positions:
Co (0.990, 0.990, 0.000)  1.62
Co (0.759, 0.259, 0.500)  1.65
Cu (0.504, 0.504, 0.000)  0.04
Hg (0.247, 0.747, 0.500)  -0.02